Record 1
Compound: RbCdHg2Br8
Source: the Alexandria database
Functional: GGA-PBE
Structure: optimized geometry

abc: 6.941 6.941 10.076
angles: 90.00 90.00 120.00
Fractional positions:
Rb (0.000, 0.000, 0.000)
Br (0.040, 0.703, 0.330)
Br (0.663, 0.960, 0.330)
Br (0.297, 0.337, 0.330)
Hg (0.333, 0.667, 0.738)
Br (0.337, 0.040, 0.670)
Br (0.667, 0.333, 0.998)
Cd (0.000, 0.000, 0.500)
Br (0.703, 0.663, 0.670)
Br (0.333, 0.667, 0.002)
Hg (0.667, 0.333, 0.262)
Br (0.960, 0.297, 0.670)

Values from the calculation:
Energy, eV/atom: -1.968
SG: P-3 (147)
Spin magnetization, μB/atom: 0.012
E_form (uncorrected), meV/atom: -645

---

Record 2
Compound: BeCrTc3
Source: the Alexandria database
Functional: GGA-PBE
Structure: optimized geometry

abc: 4.392 4.392 4.392
angles: 90.00 90.00 90.00
Fractional positions:
Tc (0.000, 0.000, 0.500)
Cr (0.000, 0.000, 0.000)
Tc (0.000, 0.500, 0.000)
Be (0.500, 0.500, 0.500)
Tc (0.500, 0.000, 0.000)

Values from the calculation:
Energy relative to the elements, eV/atom: 1.449
Energy, eV/atom: -7.441
SG: Pm-3m (221)
Spin magnetization, μB/atom: 0.263

---

Record 3
Compound: Er2Si3Pt9
Source: the Alexandria database
Functional: GGA-PBE
Structure: optimized geometry

abc: 7.659 7.659 9.981
angles: 90.28 112.38 119.84
Fractional positions:
Pt (0.787, 0.481, 0.426)
Si (0.500, 0.000, 0.000)
Si (0.141, 0.820, 0.498)
Er (0.997, 0.584, 0.751)
Si (0.500, 0.500, 0.500)
Pt (0.561, 0.086, 0.256)
Pt (0.439, 0.914, 0.744)
Pt (0.217, 0.690, 0.076)
Pt (0.670, 0.695, 0.756)
Pt (0.114, 0.141, 0.424)
Er (0.333, 0.246, 0.749)
Si (0.859, 0.180, 0.502)
Pt (0.548, 0.199, 0.569)
Pt (0.783, 0.310, 0.924)
Si (0.178, 0.358, 0.998)
Pt (0.892, 0.142, 0.750)
Pt (0.330, 0.305, 0.244)
Si (0.822, 0.642, 0.002)
Pt (0.452, 0.801, 0.431)
Pt (0.886, 0.859, 0.576)
Pt (0.445, 0.639, 0.926)
Er (0.003, 0.416, 0.249)
Pt (0.870, 0.021, 0.069)
Pt (0.130, 0.979, 0.931)
Pt (0.108, 0.858, 0.250)
Er (0.667, 0.754, 0.251)
Pt (0.213, 0.519, 0.574)
Pt (0.555, 0.361, 0.074)

Values from the calculation:
Energy, eV/atom: -6.661
SG: C2/c (15)
Spin magnetization, μB/atom: 0.000
E_form (uncorrected), meV/atom: -964

---

Record 4
Compound: Ce3Nd2DyN6
Source: the Alexandria database
Functional: GGA-PBE
Structure: optimized geometry

abc: 6.202 6.202 6.184
angles: 99.62 99.62 119.99
Fractional positions:
N (0.236, 0.236, 0.739)
Nd (0.667, 0.333, 0.000)
Nd (0.333, 0.667, 0.000)
Ce (0.834, 0.166, 0.500)
N (0.410, 0.087, 0.260)
N (0.764, 0.764, 0.261)
N (0.087, 0.410, 0.260)
Ce (0.500, 0.500, 0.500)
Ce (0.166, 0.834, 0.500)
Dy (0.000, 0.000, 0.000)
N (0.913, 0.590, 0.740)
N (0.590, 0.913, 0.740)

Values from the calculation:
Energy, eV/atom: -8.320
SG: C2/m (12)
Spin magnetization, μB/atom: 0.001
E_form (uncorrected), meV/atom: -1496